Density functional theory data (PBE-GGA) for an optimized crystal structure of Zr2GaIrPt.

Cell lengths 5.1455, 5.1455, 4.7064 Å; angles 90.00, 90.00, 90.00 degrees
Closest atoms and distances in Å follow each position.
Sites, in units of the cell vectors:
1 Pt 0.5000 0.5000 0.5000  8 Zr 3.49, 4 Ga 3.64
2 Ga 0.0000 0.0000 0.5000  2 Ir 2.35
3 Ir 0.0000 0.0000 0.0000  2 Ga 2.35, 4 Zr 2.57
4 Zr 0.5000 0.0000 0.0000  2 Ir 2.57
5 Zr 0.0000 0.5000 0.0000  2 Ir 2.57

The energy of formation is 0.090 eV/atom. As for the symmetry: P4/mmm (123).